1.
Material: ZnSiAu
Method: DFT, PBE
State: relaxed

Structure (CIF):
```
data_ZnSiAu
_chemical_formula_sum 'Zn1 Si1 Au1'
_cell_length_a 4.558
_cell_length_b 4.558
_cell_length_c 4.558
_cell_angle_alpha 131.91
_cell_angle_beta 133.46
_cell_angle_gamma 69.16
_symmetry_space_group_name_H-M 'P 1'
_symmetry_Int_Tables_number 1
loop_
_symmetry_equiv_pos_as_xyz
'x,y,z'
loop_
_atom_site_label
_atom_site_fract_x
_atom_site_fract_y
_atom_site_fract_z
Si1 0.338 0.338 0.000
Zn1 0.661 0.661 0.000
Au1 0.001 0.001 0.000
```

Calculated values
* uncorrected energy: -3.216 eV/atom
* M_tot: 0.0 μB/cell
* SG: No. 44

***

2.
Material: Zn2Si2Au
Method: DFT, PBE
State: relaxed

Structure (CIF):
```
data_Zn2Si2Au
_chemical_formula_sum 'Zn4 Si4 Au2'
_cell_length_a 6.535
_cell_length_b 6.535
_cell_length_c 3.930
_cell_angle_alpha 90.00
_cell_angle_beta 90.00
_cell_angle_gamma 90.00
_symmetry_space_group_name_H-M 'P 1'
_symmetry_Int_Tables_number 1
loop_
_symmetry_equiv_pos_as_xyz
'x,y,z'
loop_
_atom_site_label
_atom_site_fract_x
_atom_site_fract_y
_atom_site_fract_z
Zn1 0.686 0.814 0.500
Si1 0.628 0.128 0.000
Zn2 0.186 0.686 0.500
Au1 0.000 0.000 0.000
Zn3 0.314 0.186 0.500
Si2 0.128 0.372 0.000
Si3 0.872 0.628 0.000
Zn4 0.814 0.314 0.500
Si4 0.372 0.872 0.000
Au2 0.500 0.500 0.000
```

Calculated values
* uncorrected energy: -3.148 eV/atom
* M_tot: 0.0 μB/cell
* polymorph energy (0 for the lowest one): 0 meV/atom
* SG: No. 127

***

3.
Material: ZnSiAu4
Method: DFT, PBE
State: relaxed

Structure (CIF):
```
data_ZnSiAu4
_chemical_formula_sum 'Zn1 Si1 Au4'
_cell_length_a 5.487
_cell_length_b 5.487
_cell_length_c 5.487
_cell_angle_alpha 60.00
_cell_angle_beta 60.00
_cell_angle_gamma 60.00
_symmetry_space_group_name_H-M 'P 1'
_symmetry_Int_Tables_number 1
loop_
_symmetry_equiv_pos_as_xyz
'x,y,z'
loop_
_atom_site_label
_atom_site_fract_x
_atom_site_fract_y
_atom_site_fract_z
Au1 0.375 0.876 0.375
Au2 0.876 0.375 0.375
Au3 0.375 0.375 0.876
Zn1 0.000 0.000 0.000
Au4 0.375 0.375 0.375
Si1 0.750 0.750 0.750
```

Calculated values
* uncorrected energy: -2.978 eV/atom
* M_tot: 0.0 μB/cell
* SG: No. 216

***

4.
Material: ZnSi2Au2
Method: DFT, PBE
State: relaxed

Structure (CIF):
```
data_ZnSi2Au2
_chemical_formula_sum 'Zn2 Si4 Au4'
_cell_length_a 6.415
_cell_length_b 6.415
_cell_length_c 4.437
_cell_angle_alpha 90.00
_cell_angle_beta 90.00
_cell_angle_gamma 90.00
_symmetry_space_group_name_H-M 'P 1'
_symmetry_Int_Tables_number 1
loop_
_symmetry_equiv_pos_as_xyz
'x,y,z'
loop_
_atom_site_label
_atom_site_fract_x
_atom_site_fract_y
_atom_site_fract_z
Si1 0.130 0.370 0.000
Si2 0.630 0.130 0.000
Si3 0.870 0.630 0.000
Au1 0.757 0.743 0.500
Zn1 0.000 0.000 0.000
Au2 0.243 0.257 0.500
Zn2 0.500 0.500 0.000
Si4 0.370 0.870 0.000
Au3 0.257 0.757 0.500
Au4 0.743 0.243 0.500
```

Calculated values
* uncorrected energy: -3.569 eV/atom
* M_tot: 0.0 μB/cell
* polymorph energy (0 for the lowest one): 2 meV/atom
* SG: No. 127

***

5.
Material: ZnSiAu
Method: DFT, PBE
State: relaxed

Structure (CIF):
```
data_ZnSiAu
_chemical_formula_sum 'Zn1 Si1 Au1'
_cell_length_a 6.177
_cell_length_b 6.175
_cell_length_c 2.906
_cell_angle_alpha 76.43
_cell_angle_beta 76.36
_cell_angle_gamma 27.22
_symmetry_space_group_name_H-M 'P 1'
_symmetry_Int_Tables_number 1
loop_
_symmetry_equiv_pos_as_xyz
'x,y,z'
loop_
_atom_site_label
_atom_site_fract_x
_atom_site_fract_y
_atom_site_fract_z
Si1 0.672 0.672 0.328
Zn1 0.331 0.331 0.669
Au1 0.997 0.997 0.003
```

Calculated values
* uncorrected energy: -3.149 eV/atom
* M_tot: 0.0 μB/cell
* SG: No. 42

***

6.
Material: ZrSi2Au
Method: DFT, PBE
State: relaxed

Structure (CIF):
```
data_ZrSi2Au
_chemical_formula_sum 'Zr1 Si2 Au1'
_cell_length_a 3.399
_cell_length_b 3.399
_cell_length_c 6.440
_cell_angle_alpha 90.00
_cell_angle_beta 90.00
_cell_angle_gamma 105.97
_symmetry_space_group_name_H-M 'P 1'
_symmetry_Int_Tables_number 1
loop_
_symmetry_equiv_pos_as_xyz
'x,y,z'
loop_
_atom_site_label
_atom_site_fract_x
_atom_site_fract_y
_atom_site_fract_z
Si1 0.000 0.000 0.523
Zr1 0.500 0.500 0.250
Si2 0.000 0.000 0.977
Au1 0.500 0.500 0.750
```

Calculated values
* uncorrected energy: -5.876 eV/atom
* M_tot: 0.0 μB/cell
* SG: No. 65

***

Question: Which formula does entry 1 have?
Answer: ZnSiAu